HgIrAu2: optimized geometry, PBE.

The space group is I-42d (No. 122) and the conventional cell measures 3.938, 3.938 and 19.976 Å, with angles of 90.00, 90.00 and 90.00 degrees. The asymmetric unit holds Hg at (0.000, 0.000, 0.000), Ir at (0.000, 0.000, 0.500) and Au at (0.241, 0.250, 0.625).

For the energy, the calculation gives -3.389 eV per atom. The calculation puts the formation energy at 540 meV/atom.